{"formula": "Er2TmMoO8", "functional": "GGA+U", "state": "relaxed", "cell": [[3.521, -3.571, 0.000], [3.521, 3.571, 0.000], [0.000, 0.000, 6.708]], "species": ["Er", "Er", "Tm", "Mo", "O", "O", "O", "O", "O", "O", "O", "O"], "fractional_positions": [[0.000, 0.000, 0.249], [0.000, 0.000, 0.751], [0.500, 0.500, 0.000], [0.500, 0.500, 0.500], [0.194, 0.194, 0.000], [0.223, 0.223, 0.500], [0.316, 0.684, 0.284], [0.316, 0.684, 0.716], [0.684, 0.316, 0.284], [0.684, 0.316, 0.716], [0.777, 0.777, 0.500], [0.806, 0.806, 0.000]], "crystal_system": "orthorhombic", "vol_a3_per_fu": 169, "energy_ev_per_atom": -7.739, "rho_g_cm3": 7.16}

{"formula": "Er2TmMoO6", "functional": "GGA+U", "state": "relaxed", "cell": [[2.833, 1.635, 4.984], [-2.833, 1.635, 4.984], [0.000, -3.271, 4.984]], "species": ["Er", "Er", "Tm", "Mo", "O", "O", "O", "O", "O", "O"], "fractional_positions": [[0.000, 0.000, 0.000], [0.495, 0.495, 0.495], [0.213, 0.213, 0.213], [0.705, 0.705, 0.705], [0.094, 0.412, 0.818], [0.322, 0.906, 0.599], [0.412, 0.818, 0.094], [0.599, 0.322, 0.906], [0.818, 0.094, 0.412], [0.906, 0.599, 0.322]], "crystal_system": "trigonal", "vol_a3_per_fu": 139, "energy_ev_per_atom": -8.149, "rho_g_cm3": 8.34}

{"formula": "ErTmMoO6", "functional": "GGA+U", "state": "relaxed", "cell": [[5.442, 0.000, 0.000], [-2.721, 4.713, 0.000], [0.000, 0.000, 4.726]], "species": ["Er", "Tm", "Mo", "O", "O", "O", "O", "O", "O"], "fractional_positions": [[0.000, 0.000, 0.000], [0.667, 0.333, 0.500], [0.333, 0.667, 0.000], [0.031, 0.371, 0.230], [0.031, 0.660, 0.770], [0.340, 0.371, 0.770], [0.340, 0.969, 0.230], [0.629, 0.660, 0.230], [0.629, 0.969, 0.770]], "crystal_system": "trigonal", "vol_a3_per_fu": 121, "energy_ev_per_atom": -7.802, "rho_g_cm3": 7.24}

{"formula": "ErUMoO6", "functional": "GGA+U", "state": "relaxed", "cell": [[5.680, 0.000, 0.000], [-2.840, 4.919, 0.000], [0.000, 0.000, 8.891]], "species": ["Er", "Er", "U", "U", "Mo", "Mo", "O", "O", "O", "O", "O", "O", "O", "O", "O", "O", "O", "O"], "fractional_positions": [[0.333, 0.667, 0.250], [0.667, 0.333, 0.750], [0.333, 0.667, 0.750], [0.667, 0.333, 0.250], [0.000, 0.000, 0.000], [0.000, 0.000, 0.500], [0.021, 0.344, 0.629], [0.021, 0.677, 0.871], [0.323, 0.344, 0.871], [0.323, 0.979, 0.629], [0.344, 0.021, 0.129], [0.344, 0.323, 0.371], [0.656, 0.677, 0.629], [0.656, 0.979, 0.871], [0.677, 0.021, 0.371], [0.677, 0.656, 0.129], [0.979, 0.323, 0.129], [0.979, 0.656, 0.371]], "crystal_system": "trigonal", "vol_a3_per_fu": 124, "energy_ev_per_atom": -8.617, "rho_g_cm3": 7.98}

{"formula": "ErV2MoO8", "functional": "GGA+U", "state": "relaxed", "cell": [[5.786, 0.000, 0.000], [-2.893, 5.011, 0.000], [0.000, 0.000, 6.161]], "species": ["Er", "V", "V", "Mo", "O", "O", "O", "O", "O", "O", "O", "O"], "fractional_positions": [[0.000, 0.000, 0.000], [0.333, 0.667, 0.664], [0.667, 0.333, 0.336], [0.000, 0.000, 0.500], [0.160, 0.321, 0.744], [0.160, 0.840, 0.744], [0.321, 0.160, 0.256], [0.333, 0.667, 0.400], [0.667, 0.333, 0.600], [0.679, 0.840, 0.744], [0.840, 0.160, 0.256], [0.840, 0.679, 0.256]], "crystal_system": "trigonal", "vol_a3_per_fu": 179, "energy_ev_per_atom": -7.677, "rho_g_cm3": 4.58}

{"formula": "ErMoWO6", "functional": "GGA+U", "state": "relaxed", "cell": [[5.459, 0.000, 0.000], [-2.729, 4.727, 0.000], [0.000, 0.000, 8.939]], "species": ["Er", "Er", "Mo", "Mo", "W", "W", "O", "O", "O", "O", "O", "O", "O", "O", "O", "O", "O", "O"], "fractional_positions": [[0.333, 0.667, 0.250], [0.667, 0.333, 0.750], [0.000, 0.000, 0.000], [0.000, 0.000, 0.500], [0.333, 0.667, 0.750], [0.667, 0.333, 0.250], [0.040, 0.361, 0.630], [0.040, 0.679, 0.870], [0.321, 0.361, 0.870], [0.321, 0.960, 0.630], [0.361, 0.040, 0.130], [0.361, 0.321, 0.370], [0.639, 0.679, 0.630], [0.639, 0.960, 0.870], [0.679, 0.040, 0.370], [0.679, 0.639, 0.130], [0.960, 0.321, 0.130], [0.960, 0.639, 0.370]], "crystal_system": "trigonal", "vol_a3_per_fu": 115, "energy_ev_per_atom": -7.732, "rho_g_cm3": 7.82}

{"formula": "YEr2MoO8", "functional": "GGA+U", "state": "relaxed", "cell": [[3.533, -3.573, 0.000], [3.533, 3.573, 0.000], [0.000, 0.000, 6.774]], "species": ["Y", "Er", "Er", "Mo", "O", "O", "O", "O", "O", "O", "O", "O"], "fractional_positions": [[0.000, 0.000, 0.000], [0.500, 0.500, 0.251], [0.500, 0.500, 0.749], [0.000, 0.000, 0.500], [0.185, 0.815, 0.288], [0.185, 0.815, 0.712], [0.277, 0.277, 0.500], [0.309, 0.309, 0.000], [0.691, 0.691, 0.000], [0.723, 0.723, 0.500], [0.815, 0.185, 0.288], [0.815, 0.185, 0.712]], "crystal_system": "orthorhombic", "vol_a3_per_fu": 171, "energy_ev_per_atom": -7.886, "rho_g_cm3": 6.29}

{"formula": "ErZrMoO6", "functional": "GGA+U", "state": "relaxed", "cell": [[5.400, 0.000, 0.000], [-2.700, 4.677, 0.000], [0.000, 0.000, 9.215]], "species": ["Er", "Er", "Zr", "Zr", "Mo", "Mo", "O", "O", "O", "O", "O", "O", "O", "O", "O", "O", "O", "O"], "fractional_positions": [[0.333, 0.667, 0.250], [0.667, 0.333, 0.750], [0.000, 0.000, 0.000], [0.000, 0.000, 0.500], [0.333, 0.667, 0.750], [0.667, 0.333, 0.250], [0.035, 0.348, 0.629], [0.035, 0.687, 0.871], [0.313, 0.348, 0.871], [0.313, 0.965, 0.629], [0.348, 0.035, 0.129], [0.348, 0.313, 0.371], [0.652, 0.687, 0.629], [0.652, 0.965, 0.871], [0.687, 0.035, 0.371], [0.687, 0.652, 0.129], [0.965, 0.313, 0.129], [0.965, 0.652, 0.371]], "crystal_system": "trigonal", "vol_a3_per_fu": 116, "energy_ev_per_atom": -8.186, "rho_g_cm3": 6.43}